(1)
This record from the Alexandria database describes a relaxed TmBe2SiRu crystal. The functional is GGA-PBE.

```
TmBe2SiRu
1.0
-1.870 1.888 5.087
1.870 -1.888 5.087
1.870 1.888 -5.087
Tm Be Si Ru
1 2 1 1
Direct
0.000 0.000 0.000 Tm
0.613 0.613 0.000 Be
0.745 0.245 0.500 Be
0.381 0.381 0.000 Si
0.239 0.739 0.500 Ru
```

Computed properties:
The space group is Imm2 (44). The total energy comes out at -5.748 eV/atom. The raw formation energy is -0.42 eV/atom.



(2)
This record from the Alexandria database describes a relaxed BaLa2Os crystal. The functional is GGA-PBE.

```
BaLa2Os
1.0
3.626 0.000 0.000
0.000 3.626 0.000
0.000 0.000 10.725
Ba La Os
1 2 1
Direct
0.000 0.000 0.000 Ba
0.500 0.500 0.342 La
0.500 0.500 0.658 La
0.000 0.000 0.500 Os
```

Computed properties:
The formation energy from the elements is 0.2 eV per formula unit. The space group is P4/mmm (123). The total energy comes out at -5.709 eV/atom. The value obtained for the offset from the most stable computed form is 0.092 eV per atom.



(3)
This record from the Alexandria database describes a relaxed Sr2Ga2Ag crystal. The functional is GGA-PBE.

```
Sr2Ga2Ag
1.0
-3.141 3.141 3.824
3.141 -3.141 3.824
3.141 3.141 -3.824
Sr Ga Ag
2 2 1
Direct
0.250 0.750 0.500 Sr
0.750 0.250 0.500 Sr
0.156 0.156 0.000 Ga
0.844 0.844 0.000 Ga
0.500 0.500 0.000 Ag
```

Computed properties:
The formation energy from the elements is -0.8 eV per formula unit. The space group is I4/mmm (139). The total energy comes out at -2.618 eV/atom. The value obtained for the offset from the most stable computed form is 0.218 eV per atom.



(4)
This record from the Alexandria database describes a relaxed LiBiS2 crystal. The functional is GGA-PBE.

```
LiBiS2
1.0
1.989 1.148 6.342
-1.989 1.148 6.342
0.000 -2.296 6.342
Li Bi S
1 1 2
Direct
0.000 0.000 0.000 Li
0.500 0.500 0.500 Bi
0.254 0.254 0.254 S
0.746 0.746 0.746 S
```

Computed properties:
The space group is R-3m (166). The total energy comes out at -4.253 eV/atom. The raw formation energy is -0.74 eV/atom.